Entry 1:
Density functional theory data (PBE) for a geometry-optimized TbNiPd structure.

Output
Energy of formation from the pure elements in meV per atom: -621
Crystal system: orthorhombic
Total energy in eV/atom: -5.82
DOS(E_F) in states/eV/cell: 2.728

Geometry as POSCAR:
```
TbNiPd
1.0
4.512 0.000 2.534
1.610 4.391 2.417
0.011 0.020 5.265
Tb Ni Pd
2 2 2
direct
0.882 0.368 0.368 Tb
0.118 0.632 0.632 Tb
0.000 0.000 0.000 Ni
0.500 0.000 0.000 Ni
0.500 0.000 0.500 Pd
0.500 0.500 0.000 Pd
```

Entry 2:
Density functional theory data (PBE) for a geometry-optimized Tb2Ni2Pd structure.

Output
Energy of formation from the pure elements in meV per atom: -568
Crystal system: orthorhombic
Total energy in eV/atom: -5.77
DOS(E_F) in states/eV/cell: 3.983

Geometry as POSCAR:
```
Tb2Ni2Pd
1.0
-0.289 2.474 -3.247
4.162 -3.071 -2.711
-4.680 -2.054 1.431
Ni Tb Pd
2 2 1
direct
0.500 0.702 0.000 Ni
0.500 0.298 0.000 Ni
0.783 0.283 0.567 Tb
0.217 0.717 0.433 Tb
0.000 0.000 0.000 Pd
```

Entry 3:
Density functional theory data (PBE) for a geometry-optimized Tb12NiPd6 structure.

Output
Energy of formation from the pure elements in meV per atom: -493
Crystal system: trigonal
Total energy in eV/atom: -5.36
DOS(E_F) in states/eV/cell: 19.263

Geometry as POSCAR:
```
Tb12NiPd6
1.0
-6.259 -2.698 4.585
3.925 -7.131 -1.103
4.695 3.115 5.977
Tb Ni Pd
12 1 6
direct
0.818 0.583 0.425 Tb
0.923 0.040 0.683 Tb
0.425 0.818 0.583 Tb
0.575 0.182 0.417 Tb
0.583 0.425 0.818 Tb
0.077 0.960 0.317 Tb
0.182 0.417 0.575 Tb
0.960 0.317 0.077 Tb
0.317 0.077 0.960 Tb
0.417 0.575 0.182 Tb
0.683 0.923 0.040 Tb
0.040 0.683 0.923 Tb
0.000 0.000 0.000 Ni
0.129 0.622 0.310 Pd
0.871 0.378 0.690 Pd
0.690 0.871 0.378 Pd
0.622 0.310 0.129 Pd
0.310 0.129 0.622 Pd
0.378 0.690 0.871 Pd
```

Entry 4:
Density functional theory data (PBE) for a geometry-optimized TbThNiPd structure.

Output
Energy above the most stable polymorph in this dataset in meV per atom: 124.5
Energy of formation from the pure elements in meV per atom: -515
Crystal system: cubic
Total energy in eV/atom: -6.27
DOS(E_F) in states/eV/cell: 3.205

Geometry as POSCAR:
```
TbThNiPd
1.0
-4.790 0.602 -1.271
-2.836 -3.984 -1.001
-3.612 -1.352 3.169
Pd Tb Ni Th
1 1 1 1
direct
0.750 0.750 0.750 Pd
0.000 0.000 0.000 Tb
0.250 0.250 0.250 Ni
0.500 0.500 0.500 Th
```

Entry 5:
Density functional theory data (PBE) for a geometry-optimized TbThNiPd structure.

Output
Energy above the most stable polymorph in this dataset in meV per atom: 0.0
Energy of formation from the pure elements in meV per atom: -640
Crystal system: orthorhombic
Total energy in eV/atom: -6.40
DOS(E_F) in states/eV/cell: 3.210

Geometry as POSCAR:
```
TbThNiPd
1.0
-3.134 -0.444 -2.031
2.172 -2.344 -2.839
0.348 -4.409 3.908
Ni Pd Tb Th
1 1 1 1
direct
0.406 0.000 0.811 Ni
0.583 0.500 0.166 Pd
0.143 0.000 0.286 Tb
0.868 0.500 0.736 Th
```

Entry 6:
Density functional theory data (PBE) for a geometry-optimized TbTlNiPd structure.

Output
Energy of formation from the pure elements in meV per atom: -394
Crystal system: cubic
Total energy in eV/atom: -4.89
DOS(E_F) in states/eV/cell: 3.535

Geometry as POSCAR:
```
TbTlNiPd
1.0
4.766 0.000 0.000
2.383 4.128 0.000
2.383 1.376 3.892
Tb Pd Tl Ni
1 1 1 1
direct
0.750 0.750 0.750 Tb
0.500 0.500 0.500 Pd
0.250 0.250 0.250 Tl
0.000 0.000 0.000 Ni
```

Entry 7:
Density functional theory data (PBE) for a geometry-optimized TbZn5Ni2Pd structure.

Output
Energy of formation from the pure elements in meV per atom: -166
Crystal system: tetragonal
Total energy in eV/atom: -3.25
DOS(E_F) in states/eV/cell: 5.384

Geometry as POSCAR:
```
TbZn5Ni2Pd
1.0
-1.501 1.402 4.136
-3.747 -2.661 -0.457
3.375 -5.270 3.011
Ni Pd Zn Tb
2 1 5 1
direct
0.500 0.500 0.835 Ni
0.500 0.500 0.165 Ni
0.000 0.000 0.000 Pd
0.500 0.000 0.798 Zn
0.500 0.000 0.202 Zn
0.000 0.500 0.202 Zn
0.500 0.500 0.500 Zn
0.000 0.500 0.798 Zn
0.000 0.000 0.500 Tb
```

Entry 8:
Density functional theory data (PBE) for a geometry-optimized TcNi6Pd structure.

Output
Energy of formation from the pure elements in meV per atom: 30
Crystal system: tetragonal
Total energy in eV/atom: -6.25
DOS(E_F) in states/eV/cell: 11.011

Geometry as POSCAR:
```
TcNi6Pd
1.0
3.622 0.000 0.000
0.000 3.622 0.000
0.000 0.000 7.250
Ni Pd Tc
6 1 1
direct
0.500 0.000 0.741 Ni
0.500 0.500 0.000 Ni
0.000 0.500 0.259 Ni
0.000 0.500 0.741 Ni
0.500 0.000 0.259 Ni
0.500 0.500 0.500 Ni
0.000 0.000 0.000 Pd
0.000 0.000 0.500 Tc
```

Entry 9:
Density functional theory data (PBE) for a geometry-optimized TcNiPd5 structure.

Output
Energy of formation from the pure elements in meV per atom: 356
Crystal system: monoclinic
Total energy in eV/atom: -5.66
DOS(E_F) in states/eV/cell: 18.376

Geometry as POSCAR:
```
TcNiPd5
1.0
-3.096 -2.659 3.549
1.891 -0.613 5.030
-4.642 5.276 8.340
Ni Pd Tc
2 10 2
direct
0.000 0.000 0.000 Ni
0.000 0.000 0.500 Ni
0.447 0.081 0.733 Pd
0.538 0.731 0.007 Pd
0.069 0.931 0.250 Pd
0.919 0.553 0.767 Pd
0.081 0.447 0.233 Pd
0.269 0.462 0.493 Pd
0.931 0.069 0.750 Pd
0.553 0.919 0.267 Pd
0.462 0.269 0.993 Pd
0.731 0.538 0.507 Pd
0.387 0.613 0.750 Tc
0.613 0.387 0.250 Tc
```

Entry 10:
Density functional theory data (PBE) for a geometry-optimized TcNiPd structure.

Output
Energy above the most stable polymorph in this dataset in meV per atom: 41.4
Energy of formation from the pure elements in meV per atom: 57
Crystal system: tetragonal
Total energy in eV/atom: -7.06
DOS(E_F) in states/eV/cell: 6.629

Geometry as POSCAR:
```
TcNiPd
1.0
-2.093 1.095 -2.082
-2.126 -2.058 1.054
-2.640 5.594 5.596
Pd Tc Ni
2 2 2
direct
0.250 0.750 0.403 Pd
0.750 0.250 0.597 Pd
0.750 0.250 0.917 Tc
0.250 0.750 0.083 Tc
0.750 0.250 0.237 Ni
0.250 0.750 0.763 Ni
```

Entry 11:
Density functional theory data (PBE) for a geometry-optimized TcNi2Pd2 structure.

Output
Energy above the most stable polymorph in this dataset in meV per atom: 0.0
Energy of formation from the pure elements in meV per atom: 292
Crystal system: tetragonal
Total energy in eV/atom: -6.17
DOS(E_F) in states/eV/cell: 12.805

Geometry as POSCAR:
```
TcNi2Pd2
1.0
-6.875 -1.143 0.625
1.272 -5.159 4.554
-0.113 1.835 2.111
Pd Tc Ni
4 2 4
direct
0.824 0.324 0.500 Pd
0.324 0.176 0.500 Pd
0.176 0.676 0.500 Pd
0.676 0.824 0.500 Pd
0.000 0.000 0.000 Tc
0.500 0.500 0.000 Tc
0.378 0.878 0.000 Ni
0.122 0.378 0.000 Ni
0.622 0.122 0.000 Ni
0.878 0.622 0.000 Ni
```

Entry 12:
Density functional theory data (PBE) for a geometry-optimized TcNi3Pd structure.

Output
Energy above the most stable polymorph in this dataset in meV per atom: 1020.7
Energy of formation from the pure elements in meV per atom: 1288
Crystal system: cubic
Total energy in eV/atom: -5.29
DOS(E_F) in states/eV/cell: 4.747

Geometry as POSCAR:
```
TcNi3Pd
1.0
4.402 0.000 0.000
0.000 4.402 0.000
0.000 0.000 4.402
Tc Ni Pd
1 3 1
direct
0.000 0.000 0.000 Tc
0.500 0.000 0.000 Ni
0.000 0.500 0.000 Ni
0.000 0.000 0.500 Ni
0.500 0.500 0.500 Pd
```

Number 1: magnetization 0.000 Bohr magnetons per cell. Number 2: magnetization 0.000 Bohr magnetons per cell. Number 3: magnetization 0.000 Bohr magnetons per cell. Number 4: magnetization 0.000 Bohr magnetons per cell. Number 5: magnetization 0.000 Bohr magnetons per cell. Number 6: magnetization 0.000 Bohr magnetons per cell. Number 7: magnetization 0.000 Bohr magnetons per cell. Number 8: magnetization 0.698 Bohr magnetons per cell. Number 9: magnetization 6.014 Bohr magnetons per cell. Number 10: magnetization 0.000 Bohr magnetons per cell. Number 11: magnetization 3.801 Bohr magnetons per cell. Number 12: magnetization 0.000 Bohr magnetons per cell.